A plane-wave DFT calculation with GGA-PBE was carried out for crystalline LaDy2Y6 at its relaxed geometry.

Calculated values
Its space group is C2/m (12). The density of states at the Fermi level comes out at 2.403 states/eV per atom. Its formation energy is 0.199 eV/atom. Its distance to the lowest polymorph of the same formula is 0.141 eV per atom. The value obtained for the total magnetic moment is 0.00 Bohr magnetons per cell. Its uncorrected energy is -5.68 eV per atom.

a = 3.4416 Å, b = 6.0367 Å, c = 17.4242 Å
α = 115.42°, β = 84.33°, γ = 73.44°
Closest atoms and distances in Å follow each position.
Positions (direct):
1 Y 0.8983 0.8105 0.3928  7 Y 3.44-3.72, 1 Dy 3.46, 3 La 3.50-3.58
2 Y 0.5638 0.8114 0.0609  7 Y 3.44-3.69, 4 Dy 3.45-3.55
3 Y 0.2252 0.8172 0.7325  7 Y 3.44-3.72, 3 Dy 3.47-3.55, 1 La 3.54
4 La 0.5000 0.5000 0.5000  2 La 3.44, 8 Y 3.50-3.58
5 Dy 0.1672 0.5000 0.1655  2 Dy 3.44, 8 Y 3.45-3.55
6 Y 0.7748 0.1828 0.2675  7 Y 3.44-3.72, 3 Dy 3.47-3.55, 1 La 3.54
7 Dy 0.8328 0.5000 0.8345  2 Dy 3.44, 8 Y 3.45-3.55
8 Y 0.1017 0.1895 0.6072  7 Y 3.44-3.72, 1 Dy 3.46, 3 La 3.50-3.58
9 Y 0.4362 0.1886 0.9391  7 Y 3.44-3.69, 4 Dy 3.45-3.55